Record 1
# AcTbPrHg | Alexandria | PBE | relaxed
# relative energy among the computed polymorphs = 235 meV/atom
# Fermi-level density of states = 26.49 states/eV/cell
data_AcTbPrHg
_symmetry_space_group_name_H-M 'F -4 3 m'
_symmetry_Int_Tables_number 216
_symmetry_space_group_name_Hall 'F -4 2 3'
_cell_length_a 8.0053
_cell_length_b 8.0053
_cell_length_c 8.0053
_cell_angle_alpha 90.00
_cell_angle_beta 90.00
_cell_angle_gamma 90.00
loop_
_atom_site_label
_atom_site_fract_x
_atom_site_fract_y
_atom_site_fract_z
Ac1 0.0000 0.0000 0.0000
Tb1 0.2500 0.2500 0.2500
Pr1 0.2500 0.2500 0.7500
Hg1 0.0000 0.0000 0.5000

Record 2
# DyInAu | Alexandria | PBE | relaxed
# Fermi-level density of states = 2.72 states/eV/cell
# final energy = -4.088 eV per atom
data_DyInAu
_symmetry_space_group_name_H-M 'I 4 m m'
_symmetry_Int_Tables_number 107
_symmetry_space_group_name_Hall 'I 4 -2'
_cell_length_a 3.4884
_cell_length_b 3.4884
_cell_length_c 11.5700
_cell_angle_alpha 90.00
_cell_angle_beta 90.00
_cell_angle_gamma 90.00
loop_
_atom_site_label
_atom_site_fract_x
_atom_site_fract_y
_atom_site_fract_z
Dy1 0.0000 0.0000 0.0000
In1 0.0000 0.0000 0.6943
Au1 0.0000 0.0000 0.3485

Record 3
# ZnCrCu2 | Alexandria | PBE | relaxed
# Fermi-level density of states = 5.11 states/eV/cell
# final energy = -4.303 eV per atom
data_ZnCrCu2
_symmetry_space_group_name_H-M 'I -4 2 d'
_symmetry_Int_Tables_number 122
_symmetry_space_group_name_Hall 'I -4 2bw'
_cell_length_a 6.8182
_cell_length_b 6.8182
_cell_length_c 5.1206
_cell_angle_alpha 90.00
_cell_angle_beta 90.00
_cell_angle_gamma 90.00
loop_
_atom_site_label
_atom_site_fract_x
_atom_site_fract_y
_atom_site_fract_z
Zn1 0.0000 0.0000 0.0000
Cr1 0.0000 0.0000 0.5000
Cu1 0.2369 0.2500 0.1250

Record 4
# Ga2Re2Au | Alexandria | PBE | relaxed
# relative energy among the computed polymorphs = 296 meV/atom
# Fermi-level density of states = 9.82 states/eV/cell
data_Ga2Re2Au
_symmetry_space_group_name_H-M 'I 4/m m m'
_symmetry_Int_Tables_number 139
_symmetry_space_group_name_Hall '-I 4 2'
_cell_length_a 3.5286
_cell_length_b 3.5286
_cell_length_c 13.1992
_cell_angle_alpha 90.00
_cell_angle_beta 90.00
_cell_angle_gamma 90.00
loop_
_atom_site_label
_atom_site_fract_x
_atom_site_fract_y
_atom_site_fract_z
Ga1 0.0000 0.5000 0.2500
Re1 0.0000 0.0000 0.0982
Au1 0.0000 0.0000 0.5000

Record 5
# Sr2GaHgIr | Alexandria | PBE | relaxed
# Fermi-level density of states = 2.75 states/eV/cell
# final energy = -3.461 eV per atom
data_Sr2GaHgIr
_symmetry_space_group_name_H-M 'P 4/m m m'
_symmetry_Int_Tables_number 123
_symmetry_space_group_name_Hall '-P 4 2'
_cell_length_a 5.8478
_cell_length_b 5.8478
_cell_length_c 4.7963
_cell_angle_alpha 90.00
_cell_angle_beta 90.00
_cell_angle_gamma 90.00
loop_
_atom_site_label
_atom_site_fract_x
_atom_site_fract_y
_atom_site_fract_z
Sr1 0.0000 0.5000 0.0000
Ga1 0.0000 0.0000 0.5000
Hg1 0.5000 0.5000 0.5000
Ir1 0.0000 0.0000 0.0000

Record 6
# YZrZnCo | Alexandria | PBE | relaxed
# Fermi-level density of states = 13.14 states/eV/cell
# final energy = -6.012 eV per atom
data_YZrZnCo
_symmetry_space_group_name_H-M 'F -4 3 m'
_symmetry_Int_Tables_number 216
_symmetry_space_group_name_Hall 'F -4 2 3'
_cell_length_a 6.7295
_cell_length_b 6.7295
_cell_length_c 6.7295
_cell_angle_alpha 90.00
_cell_angle_beta 90.00
_cell_angle_gamma 90.00
loop_
_atom_site_label
_atom_site_fract_x
_atom_site_fract_y
_atom_site_fract_z
Y1 0.0000 0.0000 0.0000
Zr1 0.0000 0.0000 0.5000
Zn1 0.2500 0.2500 0.2500
Co1 0.2500 0.2500 0.7500

Record 7
# In5Hg3Pb4 | Alexandria | PBE | relaxed
# relative energy among the computed polymorphs = 0 meV/atom
# Fermi-level density of states = 4.39 states/eV/cell
data_In5Hg3Pb4
_symmetry_space_group_name_H-M 'P -1'
_symmetry_Int_Tables_number 2
_cell_length_a 6.0932
_cell_length_b 6.8332
_cell_length_c 8.9753
_cell_angle_alpha 103.39
_cell_angle_beta 107.02
_cell_angle_gamma 97.99
loop_
_symmetry_equiv_pos_as_xyz
'x,y,z'
'-x,-y,-z'
loop_
_atom_site_label
_atom_site_fract_x
_atom_site_fract_y
_atom_site_fract_z
In1 0.0000 0.0000 0.0000
In2 0.0016 0.6478 0.6784
In3 0.4909 0.2604 0.9946
Hg1 0.0000 0.5000 0.0000
Hg2 0.4794 0.8965 0.6997
Pb1 0.0551 0.8602 0.3403
Pb2 0.4704 0.3741 0.6432

Record 8
# Sm12Te3C5 | Alexandria | PBE | relaxed
# ΔE_f (raw) = -375.7 meV/atom
# Fermi-level density of states = 102.20 states/eV/cell
data_Sm12Te3C5
_symmetry_space_group_name_H-M 'I a -3 d'
_symmetry_Int_Tables_number 230
_symmetry_space_group_name_Hall '-I 4bd 2c 3'
_cell_length_a 16.1865
_cell_length_b 16.1865
_cell_length_c 16.1865
_cell_angle_alpha 90.00
_cell_angle_beta 90.00
_cell_angle_gamma 90.00
loop_
_atom_site_label
_atom_site_fract_x
_atom_site_fract_y
_atom_site_fract_z
Sm1 0.0358 0.0523 0.6475
Te1 0.0000 0.2500 0.1250
C1 0.0000 0.0000 0.0000
C2 0.0000 0.2500 0.3750

Record 9
# SrFe2SbN | Alexandria | PBE | relaxed
# ΔE_f (raw) = 2924.6 meV/atom
# Fermi-level density of states = 6.39 states/eV/cell
data_SrFe2SbN
_symmetry_space_group_name_H-M 'P 4/m m m'
_symmetry_Int_Tables_number 123
_symmetry_space_group_name_Hall '-P 4 2'
_cell_length_a 4.8045
_cell_length_b 4.8045
_cell_length_c 6.0323
_cell_angle_alpha 90.00
_cell_angle_beta 90.00
_cell_angle_gamma 90.00
loop_
_atom_site_label
_atom_site_fract_x
_atom_site_fract_y
_atom_site_fract_z
Sr1 0.0000 0.0000 0.0000
Fe1 0.0000 0.5000 0.0000
Sb1 0.0000 0.0000 0.5000
N1 0.5000 0.5000 0.5000

Record 10
# GeSbTe2Os | Alexandria | PBE | relaxed
# relative energy among the computed polymorphs = 822 meV/atom
# ΔE_f (raw) = 1623.7 meV/atom
# Fermi-level density of states = 3.62 states/eV/cell
data_GeSbTe2Os
_symmetry_space_group_name_H-M 'P 4/m m m'
_symmetry_Int_Tables_number 123
_symmetry_space_group_name_Hall '-P 4 2'
_cell_length_a 5.1583
_cell_length_b 5.1583
_cell_length_c 5.1152
_cell_angle_alpha 90.00
_cell_angle_beta 90.00
_cell_angle_gamma 90.00
loop_
_atom_site_label
_atom_site_fract_x
_atom_site_fract_y
_atom_site_fract_z
Ge1 0.0000 0.0000 0.0000
Sb1 0.0000 0.0000 0.5000
Te1 0.0000 0.5000 0.0000
Os1 0.5000 0.5000 0.5000

Record 11
# LiThAl2Pd4 | Alexandria | PBE | relaxed
# Fermi-level density of states = 9.88 states/eV/cell
# final energy = -5.521 eV per atom
data_LiThAl2Pd4
_symmetry_space_group_name_H-M 'R -3 m'
_symmetry_Int_Tables_number 166
_symmetry_space_group_name_Hall '-R 3 2"'
_cell_length_a 4.2725
_cell_length_b 4.2725
_cell_length_c 25.9343
_cell_angle_alpha 90.00
_cell_angle_beta 90.00
_cell_angle_gamma 120.00
loop_
_atom_site_label
_atom_site_fract_x
_atom_site_fract_y
_atom_site_fract_z
Li1 0.0000 0.0000 0.0000
Th1 0.0000 0.0000 0.5000
Al1 0.0000 0.0000 0.2667
Pd1 0.0000 0.0000 0.0982
Pd2 0.0000 0.0000 0.3680

Record 12
# Mg3TaTe | Alexandria | PBE | relaxed
# relative energy among the computed polymorphs = 0 meV/atom
# ΔE_f (raw) = 1151.9 meV/atom
# Fermi-level density of states = 1.96 states/eV/cell
data_Mg3TaTe
_symmetry_space_group_name_H-M 'P m -3 m'
_symmetry_Int_Tables_number 221
_symmetry_space_group_name_Hall '-P 4 2 3'
_cell_length_a 5.2724
_cell_length_b 5.2724
_cell_length_c 5.2724
_cell_angle_alpha 90.00
_cell_angle_beta 90.00
_cell_angle_gamma 90.00
loop_
_atom_site_label
_atom_site_fract_x
_atom_site_fract_y
_atom_site_fract_z
Mg1 0.0000 0.0000 0.5000
Ta1 0.5000 0.5000 0.5000
Te1 0.0000 0.0000 0.0000